[1]
{"formula": "MnNiSe2", "functional": "meta-GGA SCAN", "state": "single point on PBEsol structure", "crystal_system": "tetragonal", "e_form_raw_ev_per_fu": 0.01, "lattice_angstrom": [[4.287, 0.000, 0.000], [0.000, 4.287, 0.000], [0.000, 0.000, 3.127]], "species": ["Mn", "Ni", "Se", "Se"], "frac_coords": [[0.000, 0.000, 0.000], [0.500, 0.500, 0.000], [0.000, 0.500, 0.500], [0.500, 0.000, 0.500]]}


[2]
{"formula": "MnNiSe2", "functional": "meta-GGA SCAN", "state": "single point on PBEsol structure", "crystal_system": "monoclinic", "e_form_raw_ev_per_fu": -1.72, "lattice_angstrom": [[3.626, 0.000, 0.000], [0.000, 3.625, 0.000], [-0.008, 0.000, 5.432]], "species": ["Mn", "Ni", "Se", "Se"], "frac_coords": [[0.000, 0.000, 0.000], [0.500, 0.500, 0.000], [0.001, 0.500, 0.262], [0.499, 0.000, 0.738]]}


[3]
{"formula": "MnNiSe2", "functional": "meta-GGA SCAN", "state": "single point on PBEsol structure", "crystal_system": "monoclinic", "e_form_raw_ev_per_fu": -0.34, "lattice_angstrom": [[2.797, -3.489, 0.000], [2.797, 3.489, 0.000], [-2.739, 0.000, 3.484]], "species": ["Mn", "Ni", "Se", "Se"], "frac_coords": [[0.000, 0.000, 0.000], [0.500, 0.500, 0.000], [0.000, 0.500, 0.500], [0.500, 0.000, 0.500]]}


[4]
{"formula": "MnNiSe2", "functional": "meta-GGA SCAN", "state": "single point on PBEsol structure", "crystal_system": "trigonal", "e_form_raw_ev_per_fu": -2.37, "lattice_angstrom": [[1.795, 1.036, 5.845], [-1.795, 1.036, 5.845], [0.000, -2.072, 5.845]], "species": ["Mn", "Ni", "Se", "Se"], "frac_coords": [[0.000, 0.000, 0.000], [0.500, 0.500, 0.500], [0.245, 0.245, 0.245], [0.755, 0.755, 0.755]]}


[5]
{"formula": "Mn2NiSe", "functional": "meta-GGA SCAN", "state": "single point on PBEsol structure", "crystal_system": "orthorhombic", "e_form_raw_ev_per_fu": -0.53, "lattice_angstrom": [[-1.612, 1.936, 4.234], [1.612, -1.936, 4.234], [1.612, 1.936, -4.234]], "species": ["Mn", "Mn", "Ni", "Se"], "frac_coords": [[0.000, 0.000, 0.000], [0.731, 0.231, 0.500], [0.487, 0.487, 0.000], [0.274, 0.774, 0.500]]}


[6]
{"formula": "MnNiSe2", "functional": "meta-GGA SCAN", "state": "single point on PBEsol structure", "crystal_system": "tetragonal", "e_form_raw_ev_per_fu": -1.67, "lattice_angstrom": [[3.272, 0.000, 0.000], [0.000, 3.272, 0.000], [0.000, 0.000, 6.115]], "species": ["Mn", "Ni", "Se", "Se"], "frac_coords": [[0.000, 0.000, 0.000], [0.500, 0.500, 0.234], [0.000, 0.000, 0.379], [0.500, 0.500, 0.851]]}


For the records above, the corresponding magnetic moment values read 0.858; 0.750; 1.175; 0.750; 1.962; 0.790 μB/atom.
For the records above, the corresponding N(E_F) values read 0.4722; 0.6393; 0.4474; 0.0470; 0.5425; 0.3979 states/eV per atom.
For the records above, the corresponding volume values read 57.5; 71.4; 68.0; 65.2; 52.8; 65.5 Å³/f.u..